(1)
# PrPuHgRu, relaxed, DFT PBE
data_PrPuHgRu
_chemical_formula_sum 'Pr1 Pu1 Hg1 Ru1'
_symmetry_space_group_name_H-M 'P 1'
_symmetry_Int_Tables_number 1
_symmetry_space_group_name_Hall 'P 1'
_cell_length_a 3.4133
_cell_length_b 3.4133
_cell_length_c 8.2667
_cell_angle_alpha 90.00
_cell_angle_beta 90.00
_cell_angle_gamma 90.00
loop_
_atom_site_label
_atom_site_fract_x
_atom_site_fract_y
_atom_site_fract_z
_atom_site_occupancy
Pr1 0.0000 0.0000 0.0000 1
Pu1 0.0000 0.0000 0.5754 1
Hg1 0.5000 0.5000 0.2929 1
Ru1 0.5000 0.5000 0.7669 1
# E_form, eV per atom: -0.20
# Relative energy among the computed polymorphs, meV per atom: 0
# DOS at the Fermi energy, states/eV per cell: 8.9
# Symmetry: P4mm

***

(2)
# PrPuHgRu, relaxed, DFT PBE
data_PrPuHgRu
_chemical_formula_sum 'Pr4 Pu4 Hg4 Ru4'
_symmetry_space_group_name_H-M 'P 1'
_symmetry_Int_Tables_number 1
_symmetry_space_group_name_Hall 'P 1'
_cell_length_a 7.2732
_cell_length_b 7.2732
_cell_length_c 7.2732
_cell_angle_alpha 90.00
_cell_angle_beta 90.00
_cell_angle_gamma 90.00
loop_
_atom_site_label
_atom_site_fract_x
_atom_site_fract_y
_atom_site_fract_z
_atom_site_occupancy
Pr1 0.0000 0.0000 0.0000 1
Pr2 0.0000 0.5000 0.5000 1
Pr3 0.5000 0.0000 0.5000 1
Pr4 0.5000 0.5000 0.0000 1
Pu1 0.0000 0.0000 0.5000 1
Pu2 0.0000 0.5000 0.0000 1
Pu3 0.5000 0.0000 0.0000 1
Pu4 0.5000 0.5000 0.5000 1
Hg1 0.2500 0.2500 0.2500 1
Hg2 0.2500 0.7500 0.7500 1
Hg3 0.7500 0.2500 0.7500 1
Hg4 0.7500 0.7500 0.2500 1
Ru1 0.2500 0.2500 0.7500 1
Ru2 0.2500 0.7500 0.2500 1
Ru3 0.7500 0.2500 0.2500 1
Ru4 0.7500 0.7500 0.7500 1
# E_form, eV per atom: -0.05
# Relative energy among the computed polymorphs, meV per atom: 146
# DOS at the Fermi energy, states/eV per cell: 47.3
# Symmetry: F-43m

***

(3)
# PrPuHgSb, relaxed, DFT PBE
data_PrPuHgSb
_chemical_formula_sum 'Pr4 Pu4 Hg4 Sb4'
_symmetry_space_group_name_H-M 'P 1'
_symmetry_Int_Tables_number 1
_symmetry_space_group_name_Hall 'P 1'
_cell_length_a 7.6712
_cell_length_b 7.6712
_cell_length_c 7.6712
_cell_angle_alpha 90.00
_cell_angle_beta 90.00
_cell_angle_gamma 90.00
loop_
_atom_site_label
_atom_site_fract_x
_atom_site_fract_y
_atom_site_fract_z
_atom_site_occupancy
Pr1 0.0000 0.0000 0.0000 1
Pr2 0.0000 0.5000 0.5000 1
Pr3 0.5000 0.0000 0.5000 1
Pr4 0.5000 0.5000 0.0000 1
Pu1 0.0000 0.0000 0.5000 1
Pu2 0.0000 0.5000 0.0000 1
Pu3 0.5000 0.0000 0.0000 1
Pu4 0.5000 0.5000 0.5000 1
Hg1 0.2500 0.2500 0.7500 1
Hg2 0.2500 0.7500 0.2500 1
Hg3 0.7500 0.2500 0.2500 1
Hg4 0.7500 0.7500 0.7500 1
Sb1 0.2500 0.2500 0.2500 1
Sb2 0.2500 0.7500 0.7500 1
Sb3 0.7500 0.2500 0.7500 1
Sb4 0.7500 0.7500 0.2500 1
# Uncorrected formation energy, eV per atom: -0.5028
# DOS at the Fermi energy, states/eV per cell: 49.2
# Symmetry: F-43m

***

(4)
# PrPuSiHg, relaxed, DFT PBE
data_PrPuSiHg
_chemical_formula_sum 'Pr4 Pu4 Si4 Hg4'
_symmetry_space_group_name_H-M 'P 1'
_symmetry_Int_Tables_number 1
_symmetry_space_group_name_Hall 'P 1'
_cell_length_a 7.4247
_cell_length_b 7.4247
_cell_length_c 7.4247
_cell_angle_alpha 90.00
_cell_angle_beta 90.00
_cell_angle_gamma 90.00
loop_
_atom_site_label
_atom_site_fract_x
_atom_site_fract_y
_atom_site_fract_z
_atom_site_occupancy
Pr1 0.0000 0.0000 0.0000 1
Pr2 0.0000 0.5000 0.5000 1
Pr3 0.5000 0.0000 0.5000 1
Pr4 0.5000 0.5000 0.0000 1
Pu1 0.0000 0.0000 0.5000 1
Pu2 0.0000 0.5000 0.0000 1
Pu3 0.5000 0.0000 0.0000 1
Pu4 0.5000 0.5000 0.5000 1
Si1 0.2500 0.2500 0.2500 1
Si2 0.2500 0.7500 0.7500 1
Si3 0.7500 0.2500 0.7500 1
Si4 0.7500 0.7500 0.2500 1
Hg1 0.2500 0.2500 0.7500 1
Hg2 0.2500 0.7500 0.2500 1
Hg3 0.7500 0.2500 0.2500 1
Hg4 0.7500 0.7500 0.7500 1
# Uncorrected formation energy, eV per atom: -0.2802
# DOS at the Fermi energy, states/eV per cell: 41.1
# Symmetry: F-43m

***

(5)
# PrSmPuHg, relaxed, DFT PBE
data_PrSmPuHg
_chemical_formula_sum 'Pr4 Sm4 Pu4 Hg4'
_symmetry_space_group_name_H-M 'P 1'
_symmetry_Int_Tables_number 1
_symmetry_space_group_name_Hall 'P 1'
_cell_length_a 7.7609
_cell_length_b 7.7609
_cell_length_c 7.7609
_cell_angle_alpha 90.00
_cell_angle_beta 90.00
_cell_angle_gamma 90.00
loop_
_atom_site_label
_atom_site_fract_x
_atom_site_fract_y
_atom_site_fract_z
_atom_site_occupancy
Pr1 0.0000 0.0000 0.0000 1
Pr2 0.0000 0.5000 0.5000 1
Pr3 0.5000 0.0000 0.5000 1
Pr4 0.5000 0.5000 0.0000 1
Sm1 0.0000 0.0000 0.5000 1
Sm2 0.0000 0.5000 0.0000 1
Sm3 0.5000 0.0000 0.0000 1
Sm4 0.5000 0.5000 0.5000 1
Pu1 0.2500 0.2500 0.7500 1
Pu2 0.2500 0.7500 0.2500 1
Pu3 0.7500 0.2500 0.2500 1
Pu4 0.7500 0.7500 0.7500 1
Hg1 0.2500 0.2500 0.2500 1
Hg2 0.2500 0.7500 0.7500 1
Hg3 0.7500 0.2500 0.7500 1
Hg4 0.7500 0.7500 0.2500 1
# E_form, eV per atom: 0.03
# DOS at the Fermi energy, states/eV per cell: 66.0
# Symmetry: F-43m

***

(6)
# PrPuSnHg, relaxed, DFT PBE
data_PrPuSnHg
_chemical_formula_sum 'Pr4 Pu4 Sn4 Hg4'
_symmetry_space_group_name_H-M 'P 1'
_symmetry_Int_Tables_number 1
_symmetry_space_group_name_Hall 'P 1'
_cell_length_a 7.6856
_cell_length_b 7.6856
_cell_length_c 7.6856
_cell_angle_alpha 90.00
_cell_angle_beta 90.00
_cell_angle_gamma 90.00
loop_
_atom_site_label
_atom_site_fract_x
_atom_site_fract_y
_atom_site_fract_z
_atom_site_occupancy
Pr1 0.0000 0.0000 0.0000 1
Pr2 0.0000 0.5000 0.5000 1
Pr3 0.5000 0.0000 0.5000 1
Pr4 0.5000 0.5000 0.0000 1
Pu1 0.0000 0.0000 0.5000 1
Pu2 0.0000 0.5000 0.0000 1
Pu3 0.5000 0.0000 0.0000 1
Pu4 0.5000 0.5000 0.5000 1
Sn1 0.2500 0.2500 0.2500 1
Sn2 0.2500 0.7500 0.7500 1
Sn3 0.7500 0.2500 0.7500 1
Sn4 0.7500 0.7500 0.2500 1
Hg1 0.2500 0.2500 0.7500 1
Hg2 0.2500 0.7500 0.2500 1
Hg3 0.7500 0.2500 0.2500 1
Hg4 0.7500 0.7500 0.7500 1
# E_form, eV per atom: -0.40
# Relative energy among the computed polymorphs, meV per atom: 0
# DOS at the Fermi energy, states/eV per cell: 42.8
# Symmetry: F-43m

***

| no. | calculated volume (A^3/atom) |
| --- | --- |
| 1 | 24.08 |
| 2 | 24.05 |
| 3 | 28.21 |
| 4 | 25.58 |
| 5 | 29.22 |
| 6 | 28.37 |